{"formula": "SrCa", "functional": "SCAN", "state": "PBEsol geometry", "dft_energy_ev_per_cell": -63.8, "ef_kj_per_mol_atoms": 1.8, "crystal_system": "tetragonal", "magnetic_moment_mub_per_cell": 0.649, "sg": "I4_1/amd (141)", "lattice_angstrom": [[-2.0183, 4.7334, -2.4228], [-0.9920, -2.8811, -4.8025], [-3.7155, -2.2070, 5.4594]], "species": ["Ca", "Ca", "Sr", "Sr"], "frac_coords": [[0.0000, 0.0000, 0.0000], [0.2500, 0.7500, 0.5000], [0.7500, 0.2500, 0.5000], [0.5000, 0.5000, 0.0000]]}